# 1
! LuZrRuAu | Alexandria | GGA-PBE | optimized geometry; values from VASP
&SYSTEM
  ibrav = 0, nat = 4, ntyp = 4
/
ATOMIC_SPECIES
Lu 174.97 Lu.upf
Zr 91.22 Zr.upf
Ru 101.07 Ru.upf
Au 196.97 Au.upf
CELL_PARAMETERS angstrom
0.0000 3.3959 3.3959
3.3959 0.0000 3.3959
3.3959 3.3959 0.0000
ATOMIC_POSITIONS angstrom
Lu 0.0000 0.0000 0.0000
Zr 3.3959 3.3959 3.3959
Ru 1.6980 1.6980 1.6980
Au 5.0939 5.0939 5.0939
! Crystal system: cubic
! Energy of formation from the pure elements: -0.544 eV/atom

---

# 2
! CrCo2Ir | Alexandria | GGA-PBE | optimized geometry; values from VASP
&SYSTEM
  ibrav = 0, nat = 4, ntyp = 3
/
ATOMIC_SPECIES
Cr 52.00 Cr.upf
Co 58.93 Co.upf
Ir 192.22 Ir.upf
CELL_PARAMETERS angstrom
-1.4436 2.0777 4.0844
1.4436 -2.0777 4.0844
1.4436 2.0777 -4.0844
ATOMIC_POSITIONS angstrom
Cr 0.0000 0.0000 0.0000
Co 0.0000 0.0000 4.2514
Co 0.0000 2.0777 2.1825
Ir 1.4436 0.0000 2.0689
! Energy above the lowest structure with this stoichiometry: 214.0 meV/atom
! Crystal system: orthorhombic
! Energy of formation from the pure elements: 0.134 eV/atom

---

# 3
! Ca3TlFe | Alexandria | GGA-PBE | optimized geometry; values from VASP
&SYSTEM
  ibrav = 0, nat = 5, ntyp = 3
/
ATOMIC_SPECIES
Ca 40.08 Ca.upf
Tl 204.38 Tl.upf
Fe 55.84 Fe.upf
CELL_PARAMETERS angstrom
5.4298 0.0000 0.0000
0.0000 5.4298 0.0000
0.0000 0.0000 5.4298
ATOMIC_POSITIONS angstrom
Ca 0.0000 0.0000 2.7149
Ca 0.0000 2.7149 0.0000
Ca 2.7149 0.0000 0.0000
Tl 2.7149 2.7149 2.7149
Fe 0.0000 0.0000 0.0000
! Energy above the lowest structure with this stoichiometry: 0.0 meV/atom
! Crystal system: cubic
! Energy of formation from the pure elements: 0.268 eV/atom

---

# 4
! NdTeSe | Alexandria | GGA-PBE | optimized geometry; values from VASP
&SYSTEM
  ibrav = 0, nat = 6, ntyp = 3
/
ATOMIC_SPECIES
Nd 144.24 Nd.upf
Te 127.60 Te.upf
Se 78.96 Se.upf
CELL_PARAMETERS angstrom
-2.1763 2.1763 8.9247
2.1763 -2.1763 8.9247
2.1763 2.1763 -8.9247
ATOMIC_POSITIONS angstrom
Nd 0.0000 0.0000 2.6783
Nd 0.0000 0.0000 15.1711
Te 2.1763 0.0000 0.0000
Te 0.0000 2.1763 0.0000
Se 0.0000 0.0000 5.6460
Se 0.0000 0.0000 12.2034
! Formation energy from raw total energies: -1410.7 meV/atom
! Energy above the lowest structure with this stoichiometry: 45.3 meV/atom
! Crystal system: tetragonal

---

Magnetization? In order: 0.0 4.5 1.5 0.0 μB/f.u..
DOS(E_F)? In order: 4.2 5.1 9.1 1.1 states/eV/cell.
Energy? In order: -27.800 -32.159 -15.493 -15.626 eV/f.u..